A relaxed Pm2NiP4Ir3 crystal, computed with PBE.

ΔH_f (0 K)   -9.75 eV per formula unit
Total magnetic moment   0.00 μB per cell

Lattice parameters (Å, degrees): 4.1857 4.1857 9.4235 90.00 90.00 90.00
With the nearest neighbours (Å) after each atom.
Positions (direct):
Pm  0.5000  0.0000  0.2460  8 P 3.12-3.18, 2 Ni 3.18, 7 Ir 3.18-3.40
Pm  0.0000  0.5000  0.7540  8 P 3.12-3.18, 2 Ni 3.18, 7 Ir 3.18-3.40
Ni  0.5000  0.5000  0.5000  4 P 2.43
P  0.5000  0.5000  0.0000  4 Ir 2.35
P  0.0000  0.0000  0.0000  4 Ir 2.35
P  0.5000  0.0000  0.6318  3 Ir 2.39-2.43, 2 Ni 2.43
P  0.0000  0.5000  0.3682  3 Ir 2.39-2.43, 2 Ni 2.43
Ir  0.0000  0.0000  0.5000  4 P 2.43
Ir  0.5000  0.0000  0.8857  5 P 2.35-2.39
Ir  0.0000  0.5000  0.1143  5 P 2.35-2.39